Record 1
Compound: Tb2ZnSn
Source: Alexandria
Functional: PBE-GGA
Structure: relaxed

a = 3.993 Å, b = 5.005 Å, c = 5.005 Å
α = 90.00°, β = 90.00°, γ = 90.00°
Positions (direct):
Tb 0.000 0.000 0.500
Tb 0.000 0.500 0.000
Sn 0.500 0.500 0.500
Zn 0.500 0.000 0.000

Calculated values
- Total magnetization: 0.000 μB per atom
- E_tot: -16.554 eV per formula unit

***

Record 2
Compound: CaMg2Si
Source: Alexandria
Functional: PBE-GGA
Structure: relaxed

a = 3.368 Å, b = 3.368 Å, c = 8.366 Å
α = 90.00°, β = 90.00°, γ = 90.01°
Positions (direct):
Si 0.500 0.500 0.250
Mg 0.000 0.000 0.446
Mg 0.000 0.000 0.054
Ca 0.500 0.500 0.750

Calculated values
- ΔE_f (raw): 0.053 eV per formula unit
- Total magnetization: 0.000 μB per atom
- E_tot: -10.560 eV per formula unit

***

Record 3
Compound: RbYTl4
Source: Alexandria
Functional: PBE-GGA
Structure: relaxed

a = 3.991 Å, b = 3.989 Å, c = 12.753 Å
α = 84.79°, β = 95.19°, γ = 96.43°
Positions (direct):
Tl 0.521 0.979 0.356
Tl 0.960 0.540 0.787
Tl 0.040 0.460 0.213
Tl 0.479 0.021 0.644
Rb 0.500 0.000 0.000
Y 0.000 0.500 0.500

Calculated values
- Total magnetization: 0.000 μB per atom
- E_tot: -17.700 eV per formula unit

***

Question: Among the records above, which one has the highest E_tot?
Answer: CaMg2Si